AsPt2C | PBE | optimized geometry

Excess energy over the best structure of this formula in the dataset in eV per atom: 0.000
E_form in eV per atom: 0.32
Raw total energy in Ry/atom: -0.4536
Space-group type: I-42d

The structure in CIF format:
```
data_AsPt2C
_symmetry_space_group_name_H-M 'P 1'
_symmetry_Int_Tables_number 1
_cell_length_a 4.9113
_cell_length_b 4.9113
_cell_length_c 6.6096
_cell_angle_alpha 68.19
_cell_angle_beta 68.19
_cell_angle_gamma 90.00
loop_
_symmetry_equiv_pos_as_xyz
'x,y,z'
loop_
_atom_site_label
_atom_site_type_symbol
_atom_site_fract_x
_atom_site_fract_y
_atom_site_fract_z
As1 As 0.0000 0.0000 0.0000
As2 As 0.7500 0.2500 0.5000
C1 C 0.5000 0.5000 0.0000
C2 C 0.2500 0.7500 0.5000
Pt1 Pt 0.2086 0.6250 0.2500
Pt2 Pt 0.5414 0.1250 0.2500
Pt3 Pt 0.3750 0.4586 0.7500
Pt4 Pt 0.8750 0.7914 0.7500
```

---

BaNa2SiF8 | PBE | optimized geometry

Raw total energy in Ry/atom: -0.3878
ΔE_f (raw) in eV/atom: -3.20
Space-group type: P-1

The structure in CIF format:
```
data_BaNa2SiF8
_symmetry_space_group_name_H-M 'P 1'
_symmetry_Int_Tables_number 1
_cell_length_a 4.5617
_cell_length_b 5.3713
_cell_length_c 7.3902
_cell_angle_alpha 89.85
_cell_angle_beta 89.90
_cell_angle_gamma 90.27
loop_
_symmetry_equiv_pos_as_xyz
'x,y,z'
loop_
_atom_site_label
_atom_site_type_symbol
_atom_site_fract_x
_atom_site_fract_y
_atom_site_fract_z
F1 F 0.1679 0.8263 0.8331
F2 F 0.7210 0.7863 0.0001
F3 F 0.5270 0.7396 0.5000
F4 F 0.8333 0.1744 0.8326
F5 F 0.4730 0.2604 0.5000
F6 F 0.2790 0.2137 0.9999
F7 F 0.8321 0.1737 0.1669
F8 F 0.1667 0.8256 0.1674
Na1 Na 0.4994 0.4993 0.7627
Na2 Na 0.5006 0.5007 0.2373
Si1 Si 0.0000 0.0000 0.0000
Ba1 Ba 0.0000 0.0000 0.5000
```

---

SrTlBiI6 | PBE | optimized geometry

Raw total energy in Ry/atom: -0.2077
ΔE_f (raw) in eV/atom: -0.91
Space-group type: P-31c

The structure in CIF format:
```
data_SrTlBiI6
_symmetry_space_group_name_H-M 'P 1'
_symmetry_Int_Tables_number 1
_cell_length_a 8.2057
_cell_length_b 8.2057
_cell_length_c 15.2117
_cell_angle_alpha 90.00
_cell_angle_beta 90.00
_cell_angle_gamma 120.00
loop_
_symmetry_equiv_pos_as_xyz
'x,y,z'
loop_
_atom_site_label
_atom_site_type_symbol
_atom_site_fract_x
_atom_site_fract_y
_atom_site_fract_z
I1 I 0.3496 0.3678 0.8701
I2 I 0.3678 0.3496 0.3701
I3 I 0.6504 0.6322 0.1299
I4 I 0.9818 0.6322 0.3701
I5 I 0.6322 0.9818 0.8701
I6 I 0.0182 0.3678 0.6299
I7 I 0.3678 0.0182 0.1299
I8 I 0.3496 0.9818 0.6299
I9 I 0.9818 0.3496 0.1299
I10 I 0.0182 0.6504 0.8701
I11 I 0.6504 0.0182 0.3701
I12 I 0.6322 0.6504 0.6299
Sr1 Sr 0.3333 0.6667 0.2500
Sr2 Sr 0.6667 0.3333 0.7500
Bi1 Bi 0.6667 0.3333 0.2500
Bi2 Bi 0.3333 0.6667 0.7500
Tl1 Tl 0.0000 0.0000 0.0000
Tl2 Tl 0.0000 0.0000 0.5000
```

---

Q: raw total energy of number 3 (SrTlBiI6)?
A: -0.2077 Ry/atom

---

Q: Which value of raw total energy does entry 3 give?
A: -0.2077 Ry/atom

---

Q: Which value of raw total energy does entry 2 give?
A: -0.3878 Ry/atom